5
Lattice="5.417 0.000 0.000 0.000 5.417 0.000 0.000 0.000 5.034" Properties=species:S:1:pos:R:3 comment="Na2GaReHg | Alexandria via LeMat-Bulk | PBE | optimized geometry" formation_energy_ev_per_atom=1.340 magnetic_moment_mub_per_cell=3.98 n_ef_per_ev_cell=3.3 pbc="T T T"
Na 0.000 2.708 0.000
Na 2.708 0.000 0.000
Ga 0.000 0.000 2.517
Re 2.708 2.708 2.517
Hg 0.000 0.000 0.000

---

4
Lattice="2.681 0.000 0.000 0.000 3.696 0.000 0.000 0.000 5.388" Properties=species:S:1:pos:R:3 comment="Fe2RePt | Alexandria via LeMat-Bulk | PBE | optimized geometry" formation_energy_ev_per_atom=-0.003 magnetic_moment_mub_per_cell=3.51 n_ef_per_ev_cell=4.2 pbc="T T T"
Fe 0.000 0.000 1.255
Fe 0.000 0.000 4.133
Re 1.340 1.848 0.000
Pt 1.340 1.848 2.694

---

5
Lattice="7.520 0.000 0.000 0.000 7.520 0.000 0.000 0.000 7.520" Properties=species:S:1:pos:R:3 comment="Rb4Pa | Alexandria via LeMat-Bulk | PBE | optimized geometry" formation_energy_ev_per_atom=1.202 magnetic_moment_mub_per_cell=6.01 n_ef_per_ev_cell=22.0 pbc="T T T"
Rb 0.000 0.000 0.000
Rb 0.000 3.760 3.760
Rb 3.760 0.000 3.760
Rb 3.760 3.760 0.000
Pa 3.760 3.760 3.760

---

12
Lattice="6.739 0.000 0.000 0.000 6.739 0.000 0.000 0.000 4.835" Properties=species:S:1:pos:R:3 comment="ReAg2 | Alexandria via LeMat-Bulk | PBE | optimized geometry" formation_energy_ev_per_atom=0.797 magnetic_moment_mub_per_cell=0.00 n_ef_per_ev_cell=9.7 pbc="T T T"
Re 0.000 0.000 1.209
Re 0.000 0.000 3.626
Re 3.369 3.369 1.209
Re 3.369 3.369 3.626
Ag 1.033 2.336 0.000
Ag 1.033 4.402 2.417
Ag 2.336 1.033 2.417
Ag 2.336 5.706 0.000
Ag 4.402 1.033 0.000
Ag 4.402 5.706 2.417
Ag 5.706 2.336 2.417
Ag 5.706 4.402 0.000

---

Please write out number 4 again, unchanged.
12
Lattice="6.739 0.000 0.000 0.000 6.739 0.000 0.000 0.000 4.835" Properties=species:S:1:pos:R:3 comment="ReAg2 | Alexandria via LeMat-Bulk | PBE | optimized geometry" formation_energy_ev_per_atom=0.797 magnetic_moment_mub_per_cell=0.00 n_ef_per_ev_cell=9.7 pbc="T T T"
Re 0.000 0.000 1.209
Re 0.000 0.000 3.626
Re 3.369 3.369 1.209
Re 3.369 3.369 3.626
Ag 1.033 2.336 0.000
Ag 1.033 4.402 2.417
Ag 2.336 1.033 2.417
Ag 2.336 5.706 0.000
Ag 4.402 1.033 0.000
Ag 4.402 5.706 2.417
Ag 5.706 2.336 2.417
Ag 5.706 4.402 0.000